# 1
Entry from Alexandria: Dy3Tm2Ru4 after structural relaxation (PBE-GGA).

a = 4.837 Å, b = 4.837 Å, c = 9.164 Å
α = 90.00°, β = 90.00°, γ = 120.00°
Positions (direct):
1 Dy 0.000 0.000 0.000
2 Dy 0.333 0.667 0.409
3 Dy 0.667 0.333 0.591
4 Tm 0.333 0.667 0.796
5 Tm 0.667 0.333 0.204
6 Ru 0.000 0.000 0.356
7 Ru 0.000 0.000 0.644
8 Ru 0.333 0.667 0.106
9 Ru 0.667 0.333 0.894

Properties
The calculation puts the formation energy at -0.37 eV per atom. The value obtained for the final energy is -7.02 eV/atom. The magnetization is 0.00 Bohr magnetons per cell. As for the symmetry: P-3m1.



# 2
Entry from Alexandria: BaPbW2I after structural relaxation (PBE-GGA).

a = 5.050 Å, b = 5.050 Å, c = 6.054 Å
α = 90.00°, β = 90.00°, γ = 90.00°
Positions (direct):
1 Ba 0.000 0.000 0.000
2 Pb 0.500 0.500 0.000
3 W 0.000 0.500 0.500
4 W 0.500 0.000 0.500
5 I 0.500 0.500 0.500

Properties
The formation energy (no corrections) comes out at 9.245 eV/f.u. The value obtained for the final energy is -4.77 eV/atom. The magnetization is 0.00 Bohr magnetons per cell. As for the symmetry: P4/mmm.



# 3
Entry from Alexandria: Ce4GePS2 after structural relaxation (PBE-GGA).

a = 7.070 Å, b = 4.112 Å, c = 7.123 Å
α = 90.00°, β = 109.62°, γ = 90.00°
Positions (direct):
1 Ce 0.244 0.000 0.243
2 Ce 0.248 0.500 0.754
3 Ce 0.752 0.500 0.246
4 Ce 0.756 0.000 0.757
5 Ge 0.500 0.500 0.500
6 P 0.500 0.000 0.000
7 S 0.000 0.000 0.500
8 S 0.000 0.500 0.000

Properties
The formation energy (no corrections) comes out at -12.616 eV/f.u. The value obtained for the final energy is -6.83 eV/atom. The magnetization is 2.49 Bohr magnetons per cell. As for the symmetry: P2/m.



# 4
Entry from Alexandria: Mg3CuPd12 after structural relaxation (PBE-GGA).

a = 3.960 Å, b = 3.960 Å, c = 15.778 Å
α = 90.00°, β = 90.00°, γ = 90.00°
Positions (direct):
1 Mg 0.000 0.000 0.000
2 Mg 0.000 0.000 0.253
3 Mg 0.000 0.000 0.747
4 Cu 0.000 0.000 0.500
5 Pd 0.000 0.500 0.127
6 Pd 0.000 0.500 0.380
7 Pd 0.000 0.500 0.620
8 Pd 0.000 0.500 0.873
9 Pd 0.500 0.000 0.127
10 Pd 0.500 0.000 0.380
11 Pd 0.500 0.000 0.620
12 Pd 0.500 0.000 0.873
13 Pd 0.500 0.500 0.000
14 Pd 0.500 0.500 0.253
15 Pd 0.500 0.500 0.500
16 Pd 0.500 0.500 0.747

Properties
The calculation puts the formation energy at -0.36 eV per atom. The value obtained for the final energy is -4.81 eV/atom. The magnetization is 0.00 Bohr magnetons per cell. As for the symmetry: P4/mmm.



# 5
Entry from Alexandria: CaSn2O4 after structural relaxation (PBE-GGA).

a = 6.348 Å, b = 11.988 Å, c = 7.486 Å
α = 90.00°, β = 90.00°, γ = 90.00°
Positions (direct):
1 Ca 0.250 0.250 0.038
2 Ca 0.250 0.750 0.739
3 Ca 0.750 0.250 0.261
4 Ca 0.750 0.750 0.962
5 Sn 0.000 0.000 0.000
6 Sn 0.000 0.500 0.000
7 Sn 0.250 0.045 0.366
8 Sn 0.250 0.455 0.366
9 Sn 0.500 0.000 0.000
10 Sn 0.500 0.500 0.000
11 Sn 0.750 0.545 0.634
12 Sn 0.750 0.955 0.634
13 O 0.016 0.125 0.203
14 O 0.016 0.375 0.203
15 O 0.250 0.083 0.879
16 O 0.250 0.417 0.879
17 O 0.250 0.575 0.151
18 O 0.250 0.925 0.151
19 O 0.484 0.125 0.203
20 O 0.484 0.375 0.203
21 O 0.516 0.625 0.797
22 O 0.516 0.875 0.797
23 O 0.750 0.075 0.849
24 O 0.750 0.425 0.849
25 O 0.750 0.583 0.121
26 O 0.750 0.917 0.121
27 O 0.984 0.625 0.797
28 O 0.984 0.875 0.797

Properties
The formation energy (no corrections) comes out at -12.987 eV/f.u. The value obtained for the final energy is -6.12 eV/atom. The magnetization is 0.00 Bohr magnetons per cell. The calculation puts the excess energy over the best structure of this formula in the dataset at 58 meV per atom. As for the symmetry: Pmmn.



# 6
Entry from Alexandria: DyHo2C after structural relaxation (PBE-GGA).

a = 9.821 Å, b = 9.821 Å, c = 9.821 Å
α = 20.61°, β = 20.61°, γ = 20.61°
Positions (direct):
1 Dy 0.000 0.000 0.000
2 Ho 0.120 0.120 0.120
3 Ho 0.880 0.880 0.880
4 C 0.500 0.500 0.500

Properties
The calculation puts the formation energy at -0.08 eV per atom. The value obtained for the final energy is -5.83 eV/atom. The magnetization is 0.33 Bohr magnetons per cell. As for the symmetry: R-3m.



# 7
Entry from Alexandria: Ag2TePt after structural relaxation (PBE-GGA).

a = 3.194 Å, b = 5.155 Å, c = 4.796 Å
α = 90.00°, β = 90.20°, γ = 90.00°
Positions (direct):
1 Ag 0.246 0.000 0.241
2 Ag 0.754 0.000 0.759
3 Te 0.000 0.500 0.500
4 Pt 0.500 0.500 0.000

Properties
The formation energy (no corrections) comes out at 0.430 eV/f.u. The value obtained for the final energy is -3.61 eV/atom. The magnetization is 0.00 Bohr magnetons per cell. As for the symmetry: P2/m.



# 8
Entry from Alexandria: Ca3GeN3 after structural relaxation (PBE-GGA).

a = 8.309 Å, b = 8.309 Å, c = 9.747 Å
α = 90.00°, β = 90.00°, γ = 39.91°
Positions (direct):
1 Ca 0.037 0.332 0.860
2 Ca 0.127 0.873 0.844
3 Ca 0.168 0.463 0.640
4 Ca 0.332 0.037 0.140
5 Ca 0.373 0.627 0.344
6 Ca 0.463 0.168 0.360
7 Ca 0.537 0.832 0.640
8 Ca 0.627 0.373 0.656
9 Ca 0.668 0.963 0.860
10 Ca 0.832 0.537 0.360
11 Ca 0.873 0.127 0.156
12 Ca 0.963 0.668 0.140
13 Ge 0.091 0.091 0.500
14 Ge 0.409 0.409 0.000
15 Ge 0.591 0.591 0.000
16 Ge 0.909 0.909 0.500
17 N 0.060 0.631 0.386
18 N 0.131 0.560 0.886
19 N 0.197 0.803 0.594
20 N 0.303 0.697 0.094
21 N 0.369 0.940 0.386
22 N 0.440 0.869 0.886
23 N 0.560 0.131 0.114
24 N 0.631 0.060 0.614
25 N 0.697 0.303 0.906
26 N 0.803 0.197 0.406
27 N 0.869 0.440 0.114
28 N 0.940 0.369 0.614

Properties
The formation energy (no corrections) comes out at -3.458 eV/f.u. The value obtained for the final energy is -5.58 eV/atom. The magnetization is 0.00 Bohr magnetons per cell. The calculation puts the excess energy over the best structure of this formula in the dataset at 226 meV per atom. As for the symmetry: Cmce.